Computed, not measured: Zr3WO after structural relaxation at the GGA+U level of DFT.

Cell: 4.482 4.482 4.482 Å, 90.00 90.00 90.00°
Positions (direct):
O  0.000  0.000  0.000
Zr  0.000  0.500  0.000
Zr  0.000  0.000  0.500
Zr  0.500  0.000  0.000
W  0.500  0.500  0.500

Computed properties:
E_tot in eV/atom: -8.2943
Density of states at the Fermi level in states/eV/f.u.: 3.18
Total magnetization in μB per formula unit: 0.00